A) A plane-wave DFT calculation with PBE was carried out for SrTiAsSe2 after structural relaxation.

Cell: 5.591 5.591 5.472 Å, 90.00 90.00 90.00°
Space group P4/mmm (No. 123)
Symmetry-distinct sites (fractional):
Sr: 0.000 0.000 0.000
Ti: 0.500 0.500 0.500
As: 0.000 0.000 0.500
Se: 0.000 0.500 0.000

total moment	1.41	μB per formula unit

---

B) A plane-wave DFT calculation with PBE was carried out for SrTiAsSe2 after structural relaxation.

Cell: 5.041 5.041 4.957 Å, 90.00 90.00 90.00°
Space group P4/mmm (No. 123)
Symmetry-distinct sites (fractional):
Sr: 0.000 0.000 0.000
Ti: 0.500 0.500 0.500
As: 0.500 0.500 0.000
Se: 0.000 0.500 0.500

total moment	0.00	μB per formula unit

---

It turns out B) is the most stable, with the second structure 1636 meV per atom higher.